1.
Entry from OQMD: a geometry-optimized Mo3AsN2 structure (PBE).

Values from the calculation:
- Symmetry: No. 194
- E_tot: -8.97 eV per atom

```
data_Mo3AsN2
_chemical_formula_sum 'Mo6 As2 N4'
_symmetry_space_group_name_H-M 'P 1'
_symmetry_Int_Tables_number 1
_cell_length_a 3.210
_cell_length_b 3.210
_cell_length_c 16.630
_cell_angle_alpha 90.00
_cell_angle_beta 90.00
_cell_angle_gamma 120.00
loop_
_symmetry_equiv_pos_as_xyz
'x,y,z'
loop_
_atom_site_label
_atom_site_fract_x
_atom_site_fract_y
_atom_site_fract_z
Mo1 0.333 0.667 0.633
Mo2 0.000 0.000 0.500
Mo3 0.000 0.000 0.000
Mo4 0.667 0.333 0.133
Mo5 0.333 0.667 0.867
Mo6 0.667 0.333 0.367
As1 0.000 0.000 0.250
As2 0.000 0.000 0.750
N1 0.667 0.333 0.571
N2 0.333 0.667 0.071
N3 0.333 0.667 0.429
N4 0.667 0.333 0.929
```

---

2.
Entry from OQMD: a geometry-optimized K12Sn4Au21 structure (PBE).

Values from the calculation:
- Symmetry: No. 59
- E_tot: -3.01 eV per atom

```
data_K12Sn4Au21
_chemical_formula_sum 'K24 Sn8 Au42'
_symmetry_space_group_name_H-M 'P 1'
_symmetry_Int_Tables_number 1
_cell_length_a 12.414
_cell_length_b 18.536
_cell_length_c 8.861
_cell_angle_alpha 90.00
_cell_angle_beta 90.00
_cell_angle_gamma 90.00
loop_
_symmetry_equiv_pos_as_xyz
'x,y,z'
loop_
_atom_site_label
_atom_site_fract_x
_atom_site_fract_y
_atom_site_fract_z
Au1 0.386 0.336 0.197
Au2 0.114 0.836 0.803
Au3 0.500 0.418 0.422
Au4 0.250 0.750 0.000
Au5 0.160 0.664 0.236
Au6 0.250 0.100 0.027
Au7 0.340 0.164 0.764
Au8 0.840 0.664 0.236
Au9 0.250 0.900 0.027
Au10 0.887 0.000 0.357
Au11 0.500 0.000 0.410
Au12 0.886 0.164 0.803
Au13 0.500 0.266 0.436
Au14 0.750 0.250 0.000
Au15 0.000 0.766 0.564
Au16 0.387 0.500 0.643
Au17 0.750 0.600 0.973
Au18 0.500 0.734 0.436
Au19 0.114 0.164 0.803
Au20 0.250 0.400 0.973
Au21 0.000 0.918 0.578
Au22 0.250 0.250 0.000
Au23 0.750 0.400 0.973
Au24 0.000 0.082 0.578
Au25 0.614 0.336 0.197
Au26 0.840 0.336 0.236
Au27 0.750 0.900 0.027
Au28 0.340 0.836 0.764
Au29 0.613 0.500 0.643
Au30 0.660 0.164 0.764
Au31 0.886 0.836 0.803
Au32 0.000 0.500 0.590
Au33 0.750 0.750 0.000
Au34 0.614 0.664 0.197
Au35 0.160 0.336 0.236
Au36 0.660 0.836 0.764
Au37 0.750 0.100 0.027
Au38 0.500 0.582 0.422
Au39 0.000 0.234 0.564
Au40 0.250 0.600 0.973
Au41 0.113 0.000 0.357
Au42 0.386 0.664 0.197
K1 0.000 0.335 0.877
K2 0.500 0.500 0.041
K3 0.000 0.823 0.170
K4 0.242 0.830 0.395
K5 0.758 0.830 0.395
K6 0.500 0.165 0.123
K7 0.258 0.670 0.605
K8 0.000 0.665 0.877
K9 0.748 0.500 0.328
K10 0.000 0.177 0.170
K11 0.742 0.330 0.605
K12 0.242 0.170 0.395
K13 0.752 0.000 0.672
K14 0.500 0.835 0.123
K15 0.000 0.500 0.111
K16 0.000 0.000 0.959
K17 0.742 0.670 0.605
K18 0.500 0.000 0.889
K19 0.758 0.170 0.395
K20 0.248 0.000 0.672
K21 0.500 0.323 0.830
K22 0.258 0.330 0.605
K23 0.252 0.500 0.328
K24 0.500 0.677 0.830
Sn1 0.808 0.500 0.772
Sn2 0.500 0.135 0.571
Sn3 0.308 0.000 0.228
Sn4 0.692 0.000 0.228
Sn5 0.500 0.865 0.571
Sn6 0.000 0.635 0.429
Sn7 0.000 0.365 0.429
Sn8 0.192 0.500 0.772
```

---

3.
Entry from OQMD: a geometry-optimized TbDy3P4 structure (PBE).

Values from the calculation:
- Symmetry: No. 65
- E_tot: -6.62 eV per atom

```
data_TbDy3P4
_chemical_formula_sum 'Tb1 Dy3 P4'
_symmetry_space_group_name_H-M 'P 1'
_symmetry_Int_Tables_number 1
_cell_length_a 6.945
_cell_length_b 6.945
_cell_length_c 4.011
_cell_angle_alpha 90.00
_cell_angle_beta 90.00
_cell_angle_gamma 109.47
loop_
_symmetry_equiv_pos_as_xyz
'x,y,z'
loop_
_atom_site_label
_atom_site_fract_x
_atom_site_fract_y
_atom_site_fract_z
Dy1 0.500 0.500 0.500
Dy2 0.500 0.000 0.000
Dy3 0.000 0.500 0.000
P1 0.750 0.250 0.500
P2 0.749 0.749 0.000
P3 0.250 0.750 0.500
P4 0.251 0.251 0.000
Tb1 0.000 0.000 0.500
```

---

4.
Entry from OQMD: a geometry-optimized Ac3Ge4Au2 structure (PBE).

Values from the calculation:
- Symmetry: No. 12
- E_tot: -4.94 eV per atom

```
data_Ac3Ge4Au2
_chemical_formula_sum 'Ac3 Ge4 Au2'
_symmetry_space_group_name_H-M 'P 1'
_symmetry_Int_Tables_number 1
_cell_length_a 6.336
_cell_length_b 6.336
_cell_length_c 8.885
_cell_angle_alpha 99.62
_cell_angle_beta 99.62
_cell_angle_gamma 42.05
loop_
_symmetry_equiv_pos_as_xyz
'x,y,z'
loop_
_atom_site_label
_atom_site_fract_x
_atom_site_fract_y
_atom_site_fract_z
Ge1 0.279 0.279 0.947
Ge2 0.939 0.939 0.607
Ge3 0.721 0.721 0.053
Ge4 0.061 0.061 0.393
Au1 0.610 0.610 0.278
Au2 0.390 0.390 0.722
Ac1 0.000 0.000 0.000
Ac2 0.336 0.336 0.332
Ac3 0.664 0.664 0.668
```

---

5.
Entry from OQMD: a geometry-optimized LiTePtAu structure (PBE).

Values from the calculation:
- Symmetry: No. 216
- E_tot: -3.83 eV per atom

```
data_LiTePtAu
_chemical_formula_sum 'Li1 Te1 Pt1 Au1'
_symmetry_space_group_name_H-M 'P 1'
_symmetry_Int_Tables_number 1
_cell_length_a 4.691
_cell_length_b 4.691
_cell_length_c 4.691
_cell_angle_alpha 60.00
_cell_angle_beta 60.00
_cell_angle_gamma 60.00
loop_
_symmetry_equiv_pos_as_xyz
'x,y,z'
loop_
_atom_site_label
_atom_site_fract_x
_atom_site_fract_y
_atom_site_fract_z
Li1 0.750 0.750 0.750
Pt1 0.250 0.250 0.250
Au1 0.500 0.500 0.500
Te1 0.000 0.000 0.000
```

---

6.
Entry from OQMD: a geometry-optimized Sr2BiAu structure (PBE).

Values from the calculation:
- Symmetry: No. 216
- E_tot: -3.04 eV per atom

```
data_Sr2BiAu
_chemical_formula_sum 'Sr2 Bi1 Au1'
_symmetry_space_group_name_H-M 'P 1'
_symmetry_Int_Tables_number 1
_cell_length_a 5.588
_cell_length_b 5.588
_cell_length_c 5.588
_cell_angle_alpha 60.00
_cell_angle_beta 60.00
_cell_angle_gamma 60.00
loop_
_symmetry_equiv_pos_as_xyz
'x,y,z'
loop_
_atom_site_label
_atom_site_fract_x
_atom_site_fract_y
_atom_site_fract_z
Bi1 0.500 0.500 0.500
Sr1 0.750 0.750 0.750
Sr2 0.000 0.000 0.000
Au1 0.250 0.250 0.250
```

---

7.
Entry from OQMD: a geometry-optimized Ag7PS6 structure (PBE).

Values from the calculation:
- Symmetry: No. 198
- E_tot: -3.70 eV per atom

```
data_Ag7PS6
_chemical_formula_sum 'Ag28 P4 S24'
_symmetry_space_group_name_H-M 'P 1'
_symmetry_Int_Tables_number 1
_cell_length_a 10.510
_cell_length_b 10.510
_cell_length_c 10.510
_cell_angle_alpha 90.00
_cell_angle_beta 90.00
_cell_angle_gamma 90.00
loop_
_symmetry_equiv_pos_as_xyz
'x,y,z'
loop_
_atom_site_label
_atom_site_fract_x
_atom_site_fract_y
_atom_site_fract_z
Ag1 0.224 0.510 0.011
Ag2 0.427 0.401 0.735
Ag3 0.849 0.349 0.151
Ag4 0.989 0.724 0.990
Ag5 0.724 0.990 0.989
Ag6 0.490 0.511 0.276
Ag7 0.735 0.427 0.401
Ag8 0.901 0.765 0.573
Ag9 0.599 0.235 0.073
Ag10 0.511 0.276 0.490
Ag11 0.401 0.735 0.427
Ag12 0.265 0.927 0.099
Ag13 0.510 0.011 0.224
Ag14 0.151 0.849 0.349
Ag15 0.651 0.651 0.651
Ag16 0.349 0.151 0.849
Ag17 0.776 0.010 0.489
Ag18 0.573 0.901 0.765
Ag19 0.011 0.224 0.510
Ag20 0.010 0.489 0.776
Ag21 0.073 0.599 0.235
Ag22 0.235 0.073 0.599
Ag23 0.765 0.573 0.901
Ag24 0.276 0.490 0.511
Ag25 0.489 0.776 0.010
Ag26 0.099 0.265 0.927
Ag27 0.990 0.989 0.724
Ag28 0.927 0.099 0.265
S1 0.716 0.216 0.284
S2 0.363 0.863 0.637
S3 0.518 0.518 0.518
S4 0.482 0.018 0.982
S5 0.857 0.365 0.628
S6 0.128 0.643 0.635
S7 0.137 0.137 0.137
S8 0.863 0.637 0.363
S9 0.357 0.135 0.372
S10 0.284 0.716 0.216
S11 0.216 0.284 0.716
S12 0.628 0.857 0.365
S13 0.143 0.865 0.872
S14 0.865 0.872 0.143
S15 0.635 0.128 0.643
S16 0.018 0.982 0.482
S17 0.365 0.628 0.857
S18 0.643 0.635 0.128
S19 0.872 0.143 0.865
S20 0.982 0.482 0.018
S21 0.372 0.357 0.135
S22 0.784 0.784 0.784
S23 0.135 0.372 0.357
S24 0.637 0.363 0.863
P1 0.252 0.252 0.252
P2 0.248 0.748 0.752
P3 0.752 0.248 0.748
P4 0.748 0.752 0.248
```